Run P
## Pr7NdHo3 (PBE-GGA)

Data for crystalline Pr7NdHo3 at its relaxed geometry.

Geometry as POSCAR:
```
Pr7NdHo3
1.0
-4.191 -2.763 4.113
5.198 -5.902 0.327
4.628 2.906 5.664
Ho Pr Nd
3 7 1
direct
0.000 0.832 0.168
0.500 0.000 0.000
0.000 0.168 0.832
0.260 0.929 0.577
0.740 0.423 0.071
0.786 0.765 0.765
0.260 0.577 0.929
0.740 0.071 0.423
0.214 0.235 0.235
0.000 0.500 0.500
0.500 0.500 0.500
```

Values from the calculation:
The calculation puts the density at 6.82 g/cm3. As for the crystal system: monoclinic.


Run Q
## Pr7NdHo3 (PBE-GGA)

Data for crystalline Pr7NdHo3 at its relaxed geometry.

Geometry as POSCAR:
```
Pr7NdHo3
1.0
8.725 0.000 0.000
0.000 7.281 0.000
0.000 -3.640 6.306
Pr Nd Ho
7 1 3
direct
0.106 0.167 0.833
0.126 0.667 0.333
0.461 0.834 0.667
0.106 0.667 0.833
0.461 0.333 0.166
0.106 0.167 0.333
0.461 0.834 0.166
0.441 0.333 0.667
0.783 0.500 0.500
0.783 0.500 0.000
0.783 0.000 0.500
```

Values from the calculation:
The calculation puts the density at 6.74 g/cm3. As for the crystal system: trigonal.


Which structure is the most stable? The one labeled run Q.


Run P
## Pr7Nd2Ho2 (PBE-GGA)

Data for crystalline Pr7Nd2Ho2 at its relaxed geometry.

Geometry as POSCAR:
```
Pr7Nd2Ho2
1.0
-8.563 -4.266 1.440
-0.569 -1.192 -6.911
3.030 -4.603 4.375
Pr Ho Nd
7 2 2
direct
0.000 0.000 0.000
0.685 0.000 0.500
0.178 0.500 0.500
0.822 0.500 0.500
0.685 0.500 0.000
0.315 0.500 0.000
0.315 0.000 0.500
0.000 0.732 0.268
0.000 0.268 0.732
0.500 0.751 0.751
0.500 0.249 0.249
```

Values from the calculation:
The calculation puts the density at 6.58 g/cm3. As for the crystal system: orthorhombic.


Run Q
## Pr7Nd2Ho2 (PBE-GGA)

Data for crystalline Pr7Nd2Ho2 at its relaxed geometry.

Geometry as POSCAR:
```
Pr7Nd2Ho2
1.0
8.255 1.079 1.557
0.219 6.811 1.410
0.219 -1.072 6.872
Pr Ho Nd
7 2 2
direct
0.821 0.904 0.497
0.526 0.283 0.283
0.821 0.497 0.904
0.179 0.096 0.503
0.179 0.503 0.096
0.474 0.717 0.717
0.000 0.000 0.000
0.500 0.794 0.206
0.500 0.206 0.794
0.175 0.583 0.583
0.825 0.417 0.417
```

Values from the calculation:
The calculation puts the density at 6.75 g/cm3. As for the crystal system: monoclinic.


Which structure is the most stable? The one labeled run Q.


Run P
## Pr4Nd3Ho2 (PBE-GGA)

Data for crystalline Pr4Nd3Ho2 at its relaxed geometry.

Geometry as POSCAR:
```
Pr4Nd3Ho2
1.0
-0.854 -2.298 -2.708
3.215 1.735 -0.022
11.241 -20.658 13.987
Ho Pr Nd
2 4 3
direct
0.667 0.333 0.875
0.667 0.333 0.086
0.000 0.000 0.545
0.667 0.333 0.211
0.667 0.333 0.433
0.000 0.000 0.769
0.667 0.333 0.656
0.000 0.000 0.319
0.000 0.000 0.983
```

Values from the calculation:
The calculation puts the density at 6.96 g/cm3. As for the crystal system: trigonal.


Run Q
## Pr4Nd3Ho2 (PBE-GGA)

Data for crystalline Pr4Nd3Ho2 at its relaxed geometry.

Geometry as POSCAR:
```
Pr4Nd3Ho2
1.0
-3.825 -5.052 -0.100
5.054 0.084 3.828
-8.298 10.247 0.281
Ho Pr Nd
2 4 3
direct
0.220 0.440 0.665
0.780 0.560 0.335
0.666 0.331 0.000
0.111 0.223 0.335
0.334 0.669 0.000
0.889 0.777 0.665
0.553 0.109 0.665
0.000 0.000 0.000
0.447 0.891 0.335
```

Values from the calculation:
The calculation puts the density at 7.05 g/cm3. As for the crystal system: triclinic.


Which structure is the most stable? The one labeled run Q.


Run P
## PrNd3Ho5 (PBE-GGA)

Data for crystalline PrNd3Ho5 at its relaxed geometry.

Geometry as POSCAR:
```
PrNd3Ho5
1.0
6.040 0.000 0.000
-3.020 9.096 -3.306
0.000 -0.602 11.523
Ho Nd Pr
10 6 2
direct
0.574 0.658 0.968
0.916 0.342 0.532
0.426 0.000 0.750
0.426 0.342 0.032
0.574 0.000 0.250
0.084 0.658 0.468
0.906 0.323 0.198
0.094 0.677 0.802
0.583 0.677 0.302
0.417 0.323 0.698
0.414 0.361 0.364
0.053 0.639 0.136
0.000 0.000 0.500
0.000 0.000 0.000
0.586 0.639 0.636
0.947 0.361 0.864
0.079 0.000 0.250
0.921 0.000 0.750
```

Values from the calculation:
The calculation puts the density at 7.48 g/cm3. As for the crystal system: monoclinic.


Run Q
## PrNd3Ho5 (PBE-GGA)

Data for crystalline PrNd3Ho5 at its relaxed geometry.

Geometry as POSCAR:
```
PrNd3Ho5
1.0
9.446 0.030 1.604
2.614 9.077 1.604
5.723 4.321 9.320
Pr Nd Ho
2 6 10
direct
0.839 0.839 0.407
0.161 0.161 0.593
0.300 0.300 0.192
0.000 0.000 0.500
0.661 0.661 0.363
0.700 0.700 0.808
0.339 0.339 0.637
0.000 0.000 0.000
0.847 0.350 0.248
0.183 0.183 0.041
0.650 0.153 0.752
0.741 0.259 0.000
0.496 0.496 0.221
0.817 0.817 0.959
0.504 0.504 0.779
0.259 0.741 0.000
0.350 0.847 0.248
0.153 0.650 0.752
```

Values from the calculation:
The calculation puts the density at 6.95 g/cm3. As for the crystal system: monoclinic.


Which structure is the most stable? The one labeled run P.